Record 1
Here is a relaxed structure of BaBiTe3 from the Alexandria database. Energies are from PBE-GGA.

Cell: 6.3572 6.3572 6.3572 Å, 90.00 90.00 90.00°
Element x y z (fractional)
Ba1 0.0000 0.0000 0.0000
Bi1 0.5000 0.5000 0.5000
Te1 0.0000 0.0000 0.5000
Te2 0.0000 0.5000 0.0000
Te3 0.5000 0.0000 0.0000

Values from the calculation:
Space group: Pm-3m, No. 221
Energy in eV per cell: -12.839
Raw formation energy in eV per atom: 0.4779

=====

Record 2
Here is a relaxed structure of Ba3Bi5Te12 from the Alexandria database. Energies are from PBE-GGA.

Cell: 16.5164 16.5164 16.5164 Å, 109.47 109.47 109.47°
Element x y z (fractional)
Ba1 0.1250 0.2500 0.3750
Ba2 0.1250 0.3750 0.7500
Ba3 0.2500 0.3750 0.1250
Ba4 0.2500 0.8750 0.6250
Ba5 0.3750 0.1250 0.2500
Ba6 0.3750 0.7500 0.1250
Ba7 0.6250 0.2500 0.8750
Ba8 0.6250 0.8750 0.7500
Ba9 0.7500 0.1250 0.3750
Ba10 0.7500 0.6250 0.8750
Ba11 0.8750 0.6250 0.2500
Ba12 0.8750 0.7500 0.6250
Bi1 0.0000 0.0000 0.0000
Bi2 0.0000 0.0000 0.5000
Bi3 0.0000 0.5000 0.0000
Bi4 0.0000 0.5000 0.5000
Bi5 0.1250 0.7500 0.8750
Bi6 0.1250 0.8750 0.2500
Bi7 0.2500 0.1250 0.8750
Bi8 0.2500 0.6250 0.3750
Bi9 0.3750 0.2500 0.6250
Bi10 0.3750 0.6250 0.7500
Bi11 0.5000 0.0000 0.0000
Bi12 0.5000 0.0000 0.5000
Bi13 0.5000 0.5000 0.0000
Bi14 0.5000 0.5000 0.5000
Bi15 0.6250 0.3750 0.2500
Bi16 0.6250 0.7500 0.3750
Bi17 0.7500 0.3750 0.6250
Bi18 0.7500 0.8750 0.1250
Bi19 0.8750 0.1250 0.7500
Bi20 0.8750 0.2500 0.1250
Te1 0.0406 0.2123 0.1275
Te2 0.0406 0.3283 0.9131
Te3 0.0848 0.7123 0.6717
Te4 0.0848 0.8725 0.4131
Te5 0.0869 0.6275 0.4152
Te6 0.0869 0.9594 0.6717
Te7 0.1275 0.0406 0.2123
Te8 0.1275 0.5869 0.9152
Te9 0.1717 0.2123 0.5848
Te10 0.1717 0.4594 0.5869
Te11 0.2123 0.1275 0.0406
Te12 0.2123 0.5848 0.1717
Te13 0.2877 0.3283 0.9152
Te14 0.2877 0.4594 0.3725
Te15 0.3283 0.9131 0.0406
Te16 0.3283 0.9152 0.2877
Te17 0.3725 0.2877 0.4594
Te18 0.3725 0.5848 0.9131
Te19 0.4131 0.0848 0.8725
Te20 0.4131 0.8283 0.5406
Te21 0.4152 0.0869 0.6275
Te22 0.4152 0.8283 0.7877
Te23 0.4594 0.3725 0.2877
Te24 0.4594 0.5869 0.1717
Te25 0.5406 0.4131 0.8283
Te26 0.5406 0.6275 0.7123
Te27 0.5848 0.1717 0.2123
Te28 0.5848 0.9131 0.3725
Te29 0.5869 0.1717 0.4594
Te30 0.5869 0.9152 0.1275
Te31 0.6275 0.4152 0.0869
Te32 0.6275 0.7123 0.5406
Te33 0.6717 0.0848 0.7123
Te34 0.6717 0.0869 0.9594
Te35 0.7123 0.5406 0.6275
Te36 0.7123 0.6717 0.0848
Te37 0.7877 0.4152 0.8283
Te38 0.7877 0.8725 0.9594
Te39 0.8283 0.5406 0.4131
Te40 0.8283 0.7877 0.4152
Te41 0.8725 0.4131 0.0848
Te42 0.8725 0.9594 0.7877
Te43 0.9131 0.0406 0.3283
Te44 0.9131 0.3725 0.5848
Te45 0.9152 0.1275 0.5869
Te46 0.9152 0.2877 0.3283
Te47 0.9594 0.6717 0.0869
Te48 0.9594 0.7877 0.8725

Values from the calculation:
Space group: Ia-3d, No. 230
Energy in eV per cell: -294.437
Raw formation energy in eV per atom: -0.5368

=====

Record 3
Here is a relaxed structure of BaBiTe from the Alexandria database. Energies are from PBE-GGA.

Cell: 13.0998 4.5436 4.5436 Å, 90.03 90.00 90.00°
Element x y z (fractional)
Ba1 0.1722 0.0000 0.0000
Ba2 0.8278 0.0000 0.0000
Bi1 0.0000 0.4994 0.4994
Bi2 0.5000 0.5031 0.5031
Te1 0.2637 0.5000 0.5000
Te2 0.7363 0.5000 0.5000

Values from the calculation:
Space group: Amm2, No. 38
Energy in eV per cell: -22.268
Raw formation energy in eV per atom: -0.7296

=====

Record 4
Here is a relaxed structure of Ba2BiTe4 from the Alexandria database. Energies are from PBE-GGA.

Cell: 9.6780 9.6780 9.6780 Å, 144.17 144.17 51.57°
Element x y z (fractional)
Ba1 0.1299 0.1299 0.0000
Ba2 0.8701 0.8701 0.0000
Bi1 0.5000 0.5000 0.0000
Te1 0.0000 0.5000 0.5000
Te2 0.3230 0.3230 0.0000
Te3 0.5000 0.0000 0.5000
Te4 0.6770 0.6770 0.0000

Values from the calculation:
Space group: I4/mmm, No. 139
Energy relative to the lowest polymorph listed for this composition in meV/atom: 176
Energy in eV per cell: -26.238
Raw formation energy in eV per atom: -0.8492

=====

Record 5
Here is a relaxed structure of Ba2BiTe from the Alexandria database. Energies are from PBE-GGA.

Cell: 7.7550 7.7550 7.7550 Å, 106.24 106.24 116.14°
Element x y z (fractional)
Ba1 0.1177 0.6250 0.9927
Ba2 0.3750 0.3677 0.4927
Ba3 0.6323 0.1250 0.0073
Ba4 0.8750 0.8823 0.5073
Bi1 0.2500 0.7500 0.5000
Bi2 0.5000 0.5000 0.0000
Te1 0.0000 0.0000 0.0000
Te2 0.7500 0.2500 0.5000

Values from the calculation:
Space group: I-42d, No. 122
Energy relative to the lowest polymorph listed for this composition in meV/atom: 258
Energy in eV per cell: -29.687
Raw formation energy in eV per atom: -0.9938

=====

Record 6
Here is a relaxed structure of BaBiTe3 from the Alexandria database. Energies are from PBE-GGA.

Cell: 5.9527 5.9527 5.9527 Å, 90.00 90.00 90.00°
Element x y z (fractional)
Ba1 0.0000 0.0000 0.0000
Bi1 0.5000 0.5000 0.5000
Te1 0.0000 0.5000 0.5000
Te2 0.5000 0.0000 0.5000
Te3 0.5000 0.5000 0.0000

Values from the calculation:
Space group: Pm-3m, No. 221
Energy in eV per cell: -17.697
Raw formation energy in eV per atom: -0.4937

=====

Record 7
Here is a relaxed structure of BaBiTe2 from the Alexandria database. Energies are from PBE-GGA.

Cell: 8.0201 8.0201 8.0201 Å, 35.97 35.97 35.97°
Element x y z (fractional)
Ba1 0.0000 0.0000 0.0000
Bi1 0.8303 0.8303 0.8303
Te1 0.2377 0.2377 0.2377
Te2 0.4299 0.4299 0.4299

Values from the calculation:
Space group: R3m, No. 160
Energy in eV per cell: -15.110
Raw formation energy in eV per atom: -0.7557

=====

Record 8
Here is a relaxed structure of Ba2BiTe from the Alexandria database. Energies are from PBE-GGA.

Cell: 4.1845 4.1845 9.0416 Å, 90.00 90.00 90.00°
Element x y z (fractional)
Ba1 0.0000 0.0000 0.2343
Ba2 0.0000 0.0000 0.7657
Bi1 0.5000 0.5000 0.5000
Te1 0.5000 0.5000 0.0000

Values from the calculation:
Space group: P4/mmm, No. 123
Energy relative to the lowest polymorph listed for this composition in meV/atom: 60
Energy in eV per cell: -15.634
Raw formation energy in eV per atom: -1.1916

=====

Record 9
Here is a relaxed structure of Ba3BiTe from the Alexandria database. Energies are from PBE-GGA.

Cell: 6.4718 6.4718 6.4718 Å, 90.00 90.00 90.00°
Element x y z (fractional)
Ba1 0.0000 0.0000 0.5000
Ba2 0.0000 0.5000 0.0000
Ba3 0.5000 0.0000 0.0000
Bi1 0.5000 0.5000 0.5000
Te1 0.0000 0.0000 0.0000

Values from the calculation:
Space group: Pm-3m, No. 221
Energy relative to the lowest polymorph listed for this composition in meV/atom: 359
Energy in eV per cell: -16.538
Raw formation energy in eV per atom: -0.7493

=====

Record 10
Here is a relaxed structure of Ba3BiTe4 from the Alexandria database. Energies are from PBE-GGA.

Cell: 13.7832 7.0016 7.0012 Å, 90.00 90.00 90.00°
Element x y z (fractional)
Ba1 0.0000 0.2492 0.0000
Ba2 0.2500 0.2500 0.4995
Ba3 0.2500 0.7500 0.9995
Ba4 0.5000 0.7508 0.5000
Ba5 0.7500 0.2500 0.4995
Ba6 0.7500 0.7500 0.9995
Bi1 0.0000 0.7517 0.4995
Bi2 0.5000 0.2483 0.9995
Te1 0.0000 0.2405 0.5002
Te2 0.0000 0.7488 0.0030
Te3 0.2363 0.7498 0.4996
Te4 0.2637 0.2502 0.9996
Te5 0.5000 0.2512 0.5030
Te6 0.5000 0.7595 0.0002
Te7 0.7363 0.2502 0.9996
Te8 0.7637 0.7498 0.4996

Values from the calculation:
Space group: Pmn2_1, No. 31
Energy in eV per cell: -65.206
Raw formation energy in eV per atom: -1.2984

=====

Record 11
Here is a relaxed structure of Ba7BiTe5 from the Alexandria database. Energies are from PBE-GGA.

Cell: 8.5653 8.5653 29.3137 Å, 90.00 90.00 146.08°
Element x y z (fractional)
Ba1 0.0501 0.9499 0.7500
Ba2 0.1366 0.8634 0.0359
Ba3 0.1366 0.8634 0.4641
Ba4 0.3145 0.6855 0.6796
Ba5 0.3145 0.6855 0.8204
Ba6 0.4111 0.5889 0.1088
Ba7 0.4111 0.5889 0.3912
Ba8 0.5889 0.4111 0.6088
Ba9 0.5889 0.4111 0.8912
Ba10 0.6855 0.3145 0.1796
Ba11 0.6855 0.3145 0.3204
Ba12 0.8634 0.1366 0.5359
Ba13 0.8634 0.1366 0.9641
Ba14 0.9499 0.0501 0.2500
Bi1 0.2954 0.7046 0.2500
Bi2 0.7046 0.2954 0.7500
Te1 0.0459 0.9541 0.1450
Te2 0.0459 0.9541 0.3550
Te3 0.2260 0.7740 0.5737
Te4 0.2260 0.7740 0.9263
Te5 0.5000 0.5000 0.0000
Te6 0.5000 0.5000 0.5000
Te7 0.7740 0.2260 0.0737
Te8 0.7740 0.2260 0.4263
Te9 0.9541 0.0459 0.6450
Te10 0.9541 0.0459 0.8550

Values from the calculation:
Space group: Cmcm, No. 63
Energy in eV per cell: -105.891
Raw formation energy in eV per atom: -1.5305

=====

Record 12
Here is a relaxed structure of Ba3BiTe from the Alexandria database. Energies are from PBE-GGA.

Cell: 7.3422 6.1068 10.7037 Å, 90.00 90.00 90.00°
Element x y z (fractional)
Ba1 0.0000 0.0000 0.0000
Ba2 0.2500 0.0000 0.3509
Ba3 0.2500 0.5000 0.8028
Ba4 0.5000 0.0000 0.0000
Ba5 0.7500 0.0000 0.6491
Ba6 0.7500 0.5000 0.1972
Bi1 0.2500 0.5000 0.1512
Bi2 0.7500 0.5000 0.8488
Te1 0.2500 0.0000 0.6750
Te2 0.7500 0.0000 0.3250

Values from the calculation:
Space group: Pmma, No. 51
Energy relative to the lowest polymorph listed for this composition in meV/atom: 62
Energy in eV per cell: -36.047
Raw formation energy in eV per atom: -1.0465

=====

Record 13
Here is a relaxed structure of Ba2BiTe from the Alexandria database. Energies are from PBE-GGA.

Cell: 6.0908 6.0908 6.0908 Å, 60.00 60.00 60.00°
Element x y z (fractional)
Ba1 0.2500 0.2500 0.2500
Ba2 0.7500 0.7500 0.7500
Bi1 0.0000 0.0000 0.0000
Te1 0.5000 0.5000 0.5000

Values from the calculation:
Space group: Fm-3m, No. 225
Energy relative to the lowest polymorph listed for this composition in meV/atom: 170
Energy in eV per cell: -15.193
Raw formation energy in eV per atom: -1.0812

=====

Record 14
Here is a relaxed structure of BaTl3Bi2Te6 from the Alexandria database. Energies are from PBE-GGA.

Cell: 8.1791 8.1791 8.2521 Å, 99.93 99.93 120.06°
Element x y z (fractional)
Ba1 0.0000 0.0000 0.0000
Tl1 0.1540 0.8460 0.5000
Tl2 0.5000 0.5000 0.5000
Tl3 0.8460 0.1540 0.5000
Bi1 0.3277 0.6723 0.0000
Bi2 0.6723 0.3277 0.0000
Te1 0.0844 0.4445 0.2400
Te2 0.2844 0.2844 0.7739
Te3 0.4445 0.0844 0.2400
Te4 0.5555 0.9156 0.7600
Te5 0.7156 0.7156 0.2261
Te6 0.9156 0.5555 0.7600

Values from the calculation:
Space group: C2/m, No. 12
Energy in eV per cell: -41.560
Raw formation energy in eV per atom: -0.4939

=====

Record 15
Here is a relaxed structure of BaThBi2 from the Alexandria database. Energies are from PBE-GGA.

Cell: 8.7959 8.7959 8.7959 Å, 31.24 31.24 31.24°
Element x y z (fractional)
Ba1 0.0000 0.0000 0.0000
Th1 0.1705 0.1705 0.1705
Bi1 0.5752 0.5752 0.5752
Bi2 0.7639 0.7639 0.7639

Values from the calculation:
ΔH_f (0 K) in eV per atom: -0.744
Space group: R3m, No. 160
Energy relative to the lowest polymorph listed for this composition in meV/atom: 56
Energy in eV per cell: -20.082

=====

Record 16
Here is a relaxed structure of BaTh5Bi6 from the Alexandria database. Energies are from PBE-GGA.

Cell: 8.0572 8.0572 8.0958 Å, 99.56 99.56 120.01°
Element x y z (fractional)
Ba1 0.0000 0.0000 0.0000
Th1 0.1582 0.8418 0.5000
Th2 0.3309 0.6691 0.0000
Th3 0.5000 0.5000 0.5000
Th4 0.6691 0.3309 0.0000
Th5 0.8418 0.1582 0.5000
Bi1 0.0875 0.4329 0.2604
Bi2 0.2637 0.2637 0.7513
Bi3 0.4329 0.0875 0.2604
Bi4 0.5671 0.9125 0.7396
Bi5 0.7363 0.7363 0.2487
Bi6 0.9125 0.5671 0.7396

Values from the calculation:
ΔH_f (0 K) in eV per atom: -0.619
Space group: C2/m, No. 12
Energy in eV per cell: -69.731

=====

Record 17
Here is a relaxed structure of BaTh2Bi3 from the Alexandria database. Energies are from PBE-GGA.

Cell: 8.2377 8.2377 8.2377 Å, 146.87 132.06 59.51°
Element x y z (fractional)
Ba1 0.0000 0.0000 0.0000
Th1 0.3375 0.3375 0.0000
Th2 0.6625 0.6625 0.0000
Bi1 0.1807 0.6807 0.5000
Bi2 0.5000 0.0000 0.5000
Bi3 0.8193 0.3193 0.5000

Values from the calculation:
ΔH_f (0 K) in eV per atom: -0.686
Space group: Immm, No. 71
Energy in eV per cell: -32.519

=====

Record 18
Here is a relaxed structure of BaThBi2 from the Alexandria database. Energies are from PBE-GGA.

Cell: 4.0486 4.0486 8.6495 Å, 90.00 90.00 90.00°
Element x y z (fractional)
Ba1 0.0000 0.0000 0.0000
Th1 0.0000 0.0000 0.5000
Bi1 0.5000 0.5000 0.2794
Bi2 0.5000 0.5000 0.7206

Values from the calculation:
ΔH_f (0 K) in eV per atom: -0.646
Space group: P4/mmm, No. 123
Energy relative to the lowest polymorph listed for this composition in meV/atom: 154
Energy in eV per cell: -19.689

=====

Record 19
Here is a relaxed structure of BaThBi2 from the Alexandria database. Energies are from PBE-GGA.

Cell: 8.5799 8.5799 8.5799 Å, 32.31 32.31 32.31°
Element x y z (fractional)
Ba1 0.0000 0.0000 0.0000
Th1 0.5000 0.5000 0.5000
Bi1 0.2394 0.2394 0.2394
Bi2 0.7606 0.7606 0.7606

Values from the calculation:
ΔH_f (0 K) in eV per atom: -0.801
Space group: R-3m, No. 166
Energy relative to the lowest polymorph listed for this composition in meV/atom: 0
Energy in eV per cell: -20.307

=====

Record 20
Here is a relaxed structure of Ba3YTh2Bi6 from the Alexandria database. Energies are from PBE-GGA.

Cell: 8.2162 8.2162 8.5863 Å, 99.18 99.18 120.04°
Element x y z (fractional)
Ba1 0.0000 0.0000 0.0000
Ba2 0.3328 0.6672 0.0000
Ba3 0.6672 0.3328 0.0000
Y1 0.5000 0.5000 0.5000
Th1 0.1664 0.8336 0.5000
Th2 0.8336 0.1664 0.5000
Bi1 0.0965 0.4278 0.2830
Bi2 0.2415 0.2415 0.7180
Bi3 0.4278 0.0965 0.2830
Bi4 0.5722 0.9035 0.7170
Bi5 0.7585 0.7585 0.2820
Bi6 0.9035 0.5722 0.7170

Values from the calculation:
ΔH_f (0 K) in eV per atom: -0.798
Space group: C2/m, No. 12
Energy in eV per cell: -59.936